(1)
Density functional theory data (GGA-PBE) for crystalline BaMg6Ga2 at its relaxed geometry.

The space group is P4/mmm (No. 123) and the conventional cell measures 4.6684, 4.6684 and 10.2430 Å, with angles of 90.00, 90.00 and 90.00 degrees. The distinct sites, in fractional coordinates, are Ba at (0.0000, 0.0000, 0.0000), Mg at (0.0000, 0.0000, 0.5000), Mg at (0.0000, 0.5000, 0.2878), Mg at (0.5000, 0.5000, 0.5000) and Ga at (0.5000, 0.5000, 0.1291).

The calculation puts the magnetization at 0.0 μB/f.u. For the final energy, the calculation gives -2.136 eV/atom. The crystal system is tetragonal.

***

(2)
Density functional theory data (GGA-PBE) for crystalline La3CoRh at its relaxed geometry.

The space group is Pm-3m (No. 221) and the conventional cell measures 5.1853, 5.1853 and 5.1853 Å, with angles of 90.00, 90.00 and 90.00 degrees. The distinct sites, in fractional coordinates, are La at (0.0000, 0.0000, 0.5000), Co at (0.0000, 0.0000, 0.0000) and Rh at (0.5000, 0.5000, 0.5000).

The calculation puts the magnetization at 0.0 μB/f.u. As for the offset from the most stable computed form: 346 meV per atom. The crystal system is cubic.

***

(3)
Density functional theory data (GGA-PBE) for crystalline MgRuRhO at its relaxed geometry.

The space group is I4mm (No. 107) and the conventional cell measures 2.7717, 2.7717 and 13.6924 Å, with angles of 90.00, 90.00 and 90.00 degrees. The distinct sites, in fractional coordinates, are Mg at (0.0000, 0.0000, 0.0000), Ru at (0.0000, 0.0000, 0.3183), Rh at (0.0000, 0.0000, 0.6931) and O at (0.0000, 0.0000, 0.5360).

The formation energy from raw total energies comes out at -768 meV/atom. The calculation puts the magnetization at 0.0 μB/f.u. As for the offset from the most stable computed form: 74 meV per atom. The crystal system is tetragonal.

***

(4)
Density functional theory data (GGA-PBE) for crystalline Pm6ErAl at its relaxed geometry.

The space group is P4/mmm (No. 123) and the conventional cell measures 4.9502, 4.9502 and 10.1495 Å, with angles of 90.00, 90.00 and 90.00 degrees. The distinct sites, in fractional coordinates, are Pm at (0.0000, 0.0000, 0.0000), Pm at (0.0000, 0.0000, 0.5000), Pm at (0.0000, 0.5000, 0.2390), Er at (0.5000, 0.5000, 0.5000) and Al at (0.5000, 0.5000, 0.0000).

The calculation puts the magnetization at 0.0 μB/f.u. For the final energy, the calculation gives -4.666 eV/atom. The crystal system is tetragonal.

***

(5)
Density functional theory data (GGA-PBE) for crystalline KTcH2 at its relaxed geometry.

The space group is Fm-3m (No. 225) and the conventional cell measures 6.1882, 6.1882 and 6.1882 Å, with angles of 90.00, 90.00 and 90.00 degrees. The distinct sites, in fractional coordinates, are K at (0.0000, 0.0000, 0.0000), Tc at (0.0000, 0.0000, 0.5000) and H at (0.2500, 0.2500, 0.2500).

The calculation puts the magnetization at 3.7 μB/f.u. As for the offset from the most stable computed form: 924 meV per atom. The crystal system is cubic.

***

(6)
Density functional theory data (GGA-PBE) for crystalline Nd2Re3Si4 at its relaxed geometry.

The space group is Fmmm (No. 69) and the conventional cell measures 5.4280, 9.6896 and 12.6390 Å, with angles of 90.00, 90.00 and 90.00 degrees. The distinct sites, in fractional coordinates, are Nd at (0.0000, 0.0000, 0.1409), Re at (0.0000, 0.0000, 0.5000), Re at (0.2500, 0.2500, 0.0000) and Si at (0.0000, 0.1784, 0.3413).

The formation energy from raw total energies comes out at -289 meV/atom. The calculation puts the magnetization at 0.0 μB/f.u. The crystal system is orthorhombic.

***

(7)
Density functional theory data (GGA-PBE) for crystalline CsHo6Se8 at its relaxed geometry.

The space group is P-3 (No. 147) and the conventional cell measures 11.0144, 11.0144 and 4.1455 Å, with angles of 90.00, 90.00 and 120.00 degrees. The distinct sites, in fractional coordinates, are Cs at (0.0000, 0.0000, 0.0000), Ho at (0.1387, 0.6561, 0.2500), Se at (0.0452, 0.3594, 0.2499) and Se at (0.3333, 0.6667, 0.7505).

The formation energy from raw total energies comes out at -1747 meV/atom. The calculation puts the magnetization at 0.0 μB/f.u. The crystal system is trigonal.

***

(8)
Density functional theory data (GGA-PBE) for crystalline DyScZn4 at its relaxed geometry.

The space group is F-43m (No. 216) and the conventional cell measures 7.5745, 7.5745 and 7.5745 Å, with angles of 90.00, 90.00 and 90.00 degrees. The distinct sites, in fractional coordinates, are Dy at (0.0000, 0.0000, 0.0000), Sc at (0.2500, 0.2500, 0.7500) and Zn at (0.1247, 0.1247, 0.3753).

The calculation puts the magnetization at 0.0 μB/f.u. As for the offset from the most stable computed form: 34 meV per atom. The crystal system is cubic.

***

(9)
Density functional theory data (GGA-PBE) for crystalline Ac6Rh4Au at its relaxed geometry.

The space group is Cm (No. 8) and the conventional cell measures 9.0588, 8.2512 and 9.2432 Å, with angles of 90.00, 103.79 and 90.00 degrees. The distinct sites, in fractional coordinates, are Ac at (0.0000, 0.0000, 0.0000), Ac at (0.0381, 0.5000, 0.0265), Ac at (0.1920, 0.2396, 0.7037), Ac at (0.3570, 0.2448, 0.3518), Rh at (0.2741, 0.2270, 0.0342), Rh at (0.4229, 0.5000, 0.6408), Rh at (0.4254, 0.0000, 0.6241) and Au at (0.1284, 0.5000, 0.4161).

The calculation puts the magnetization at 0.0 μB/f.u. For the final energy, the calculation gives -5.847 eV/atom. The crystal system is monoclinic.

***

(10)
Density functional theory data (GGA-PBE) for crystalline Zn2CrSi at its relaxed geometry.

The space group is I-4m2 (No. 119) and the conventional cell measures 3.6413, 3.6413 and 7.8851 Å, with angles of 90.00, 90.00 and 90.00 degrees. The distinct sites, in fractional coordinates, are Zn at (0.0000, 0.0000, 0.0000), Zn at (0.0000, 0.5000, 0.2500), Cr at (0.0000, 0.0000, 0.5000) and Si at (0.0000, 0.5000, 0.7500).

The formation energy from raw total energies comes out at 62 meV/atom. The calculation puts the magnetization at 0.0 μB/f.u. The crystal system is tetragonal.

***

(11)
Density functional theory data (GGA-PBE) for crystalline TaNiS2 at its relaxed geometry.

The space group is Fm-3m (No. 225) and the conventional cell measures 6.0687, 6.0687 and 6.0687 Å, with angles of 90.00, 90.00 and 90.00 degrees. The distinct sites, in fractional coordinates, are Ta at (0.0000, 0.0000, 0.0000), Ni at (0.0000, 0.0000, 0.5000) and S at (0.2500, 0.2500, 0.2500).

The formation energy from raw total energies comes out at -216 meV/atom. The calculation puts the magnetization at 0.0 μB/f.u. As for the offset from the most stable computed form: 497 meV per atom. The crystal system is cubic.

***

(12)
Density functional theory data (GGA-PBE) for crystalline La3Nd5H12 at its relaxed geometry.

The space group is Ia-3d (No. 230) and the conventional cell measures 13.8139, 13.8139 and 13.8139 Å, with angles of 90.00, 90.00 and 90.00 degrees. The distinct sites, in fractional coordinates, are La at (0.0000, 0.2500, 0.1250), Nd at (0.0000, 0.0000, 0.0000), Nd at (0.0000, 0.2500, 0.3750) and H at (0.0058, 0.0705, 0.6543).

The calculation puts the magnetization at 0.0 μB/f.u. For the final energy, the calculation gives -4.387 eV/atom. The crystal system is cubic.